[1]
This record from Alexandria describes Fe3Tc at its PBEsol-relaxed geometry. The functional is SCAN.

The structure in POSCAR format:
```
Fe3Tc
1.0
8.1060 0.0000 0.0000
-4.0530 7.0200 0.0000
0.0000 0.0000 2.4913
Fe Tc
9 3
Cartesian
-2.0265 3.5100 0.0000
0.0000 2.3400 0.8304
-2.0265 5.8500 0.8304
2.0265 1.1700 1.6609
4.0530 0.0000 0.0000
2.0265 3.5100 0.0000
2.0265 5.8500 0.8304
6.0795 1.1700 1.6609
4.0530 4.6800 1.6609
0.0000 0.0000 0.0000
0.0000 4.6800 1.6609
4.0530 2.3400 0.8304
```

Formation energy (eV per atom): 0.0374
M_tot (μB/atom): 1.883
Symmetry: R-3m (166)
DOS(E_F) (states/eV per cell): 7.5

[2]
This record from Alexandria describes FeTc2 at its PBEsol-relaxed geometry. The functional is SCAN.

The structure in POSCAR format:
```
FeTc2
1.0
9.5532 0.0000 0.0000
0.0000 2.6457 0.0000
-1.4570 0.0000 6.0107
Fe Tc
4 8
Cartesian
0.0000 0.0000 0.0000
1.0677 1.3229 1.9611
4.7766 1.3229 0.0000
5.8443 0.0000 1.9611
-0.3148 0.0000 3.6199
0.6445 1.3229 5.7158
2.2094 0.0000 3.9783
3.3278 0.0000 1.6097
4.4618 1.3229 3.6199
5.4211 0.0000 5.7158
6.9860 1.3229 3.9783
8.1044 1.3229 1.6097
```

Formation energy (eV per atom): 0.1950
M_tot (μB/atom): 0.000
Symmetry: Cm (8)
DOS(E_F) (states/eV per cell): 11.0

[3]
This record from Alexandria describes FeTc7 at its PBEsol-relaxed geometry. The functional is SCAN.

The structure in POSCAR format:
```
FeTc7
1.0
0.0000 3.7880 3.7880
3.7880 0.0000 3.7880
3.7880 3.7880 0.0000
Fe Tc
1 7
Cartesian
0.0000 0.0000 0.0000
1.8940 1.8940 0.0000
1.8940 0.0000 1.8940
3.7880 1.8940 1.8940
0.0000 1.8940 1.8940
1.8940 3.7880 1.8940
1.8940 1.8940 3.7880
3.7880 3.7880 3.7880
```

Formation energy (eV per atom): 0.0824
M_tot (μB/atom): 0.175
Symmetry: Fm-3m (225)
DOS(E_F) (states/eV per cell): 7.3

[4]
This record from Alexandria describes FeTc3 at its PBEsol-relaxed geometry. The functional is SCAN.

The structure in POSCAR format:
```
FeTc3
1.0
2.6601 0.0000 0.0000
0.0000 8.4755 0.0000
0.0000 0.0000 4.6027
Fe Tc
2 6
Cartesian
0.0000 0.0000 0.0000
1.3301 4.2378 2.3014
0.0000 2.1847 3.0527
0.0000 4.2378 0.0159
0.0000 6.2908 3.0527
1.3301 0.0000 2.3172
1.3301 2.0530 0.7513
1.3301 6.4225 0.7513
```

Formation energy (eV per atom): 0.1447
M_tot (μB/atom): 0.000
Symmetry: Imm2 (44)
DOS(E_F) (states/eV per cell): 6.7

[5]
This record from Alexandria describes FeTc2 at its PBEsol-relaxed geometry. The functional is SCAN.

The structure in POSCAR format:
```
FeTc2
1.0
5.7729 0.0000 0.0000
0.0000 5.7729 0.0000
0.0000 0.0000 4.5905
Fe Tc
4 8
Cartesian
0.0000 0.0000 1.1476
0.0000 0.0000 3.4429
2.8864 2.8864 1.1476
2.8864 2.8864 3.4429
0.8652 2.0212 0.0000
0.8652 3.7516 2.2953
2.0212 0.8652 2.2953
2.0212 4.9077 0.0000
3.7516 0.8652 0.0000
3.7516 4.9077 2.2953
4.9077 2.0212 2.2953
4.9077 3.7516 0.0000
```

Formation energy (eV per atom): 0.0672
M_tot (μB/atom): 0.000
Symmetry: I4/mcm (140)
DOS(E_F) (states/eV per cell): 10.5

[6]
This record from Alexandria describes FeTc2 at its PBEsol-relaxed geometry. The functional is SCAN.

The structure in POSCAR format:
```
FeTc2
1.0
3.6710 0.0000 0.0000
0.0000 11.1503 0.0000
0.0000 0.0000 3.7128
Fe Tc
4 8
Cartesian
0.0000 0.8856 0.9282
0.0000 10.2646 2.7846
1.8355 4.6895 2.7846
1.8355 6.4607 0.9282
0.0000 2.7868 2.7846
0.0000 4.7160 0.9282
0.0000 6.4342 2.7846
0.0000 8.3634 0.9282
1.8355 0.8591 2.7846
1.8355 2.7883 0.9282
1.8355 8.3619 2.7846
1.8355 10.2912 0.9282
```

Formation energy (eV per atom): 0.1255
M_tot (μB/atom): 0.567
Symmetry: Cmcm (63)
DOS(E_F) (states/eV per cell): 10.9

[7]
This record from Alexandria describes Fe24Tc5 at its PBEsol-relaxed geometry. The functional is SCAN.

The structure in POSCAR format:
```
Fe24Tc5
1.0
-4.2805 4.2805 4.2805
4.2805 -4.2805 4.2805
4.2805 4.2805 -4.2805
Fe Tc
24 5
Cartesian
3.9778 1.2185 -1.2185
3.9778 -1.2185 1.2185
6.1637 0.7805 -0.7805
6.1637 -0.7805 0.7805
2.3973 0.7805 0.7805
3.5000 3.5000 -1.8832
3.5000 -1.8832 3.5000
4.5832 1.2185 1.2185
1.2185 3.9778 -1.2185
1.2185 -1.2185 3.9778
0.7805 2.3973 0.7805
0.7805 0.7805 2.3973
3.0620 3.0620 0.3027
3.0620 0.3027 3.0620
-1.2185 3.9778 1.2185
-1.2185 1.2185 3.9778
0.7805 6.1637 -0.7805
0.7805 -0.7805 6.1637
1.2185 4.5832 1.2185
1.2185 1.2185 4.5832
0.3027 3.0620 3.0620
-0.7805 6.1637 0.7805
-0.7805 0.7805 6.1637
-1.8832 3.5000 3.5000
0.0000 0.0000 0.0000
1.5560 1.5560 -1.5560
1.5560 -1.5560 1.5560
-1.5560 1.5560 1.5560
2.7245 2.7245 2.7245
```

Formation energy (eV per atom): 0.1798
M_tot (μB/atom): 1.815
Symmetry: I-43m (217)
DOS(E_F) (states/eV per cell): 20.2

[8]
This record from Alexandria describes Fe3Tc at its PBEsol-relaxed geometry. The functional is SCAN.

The structure in POSCAR format:
```
Fe3Tc
1.0
2.9228 0.0000 0.0000
0.0000 4.0522 0.0000
0.0000 0.0000 8.0152
Fe Tc
6 2
Cartesian
0.0000 0.0000 0.0000
0.0000 2.0261 1.9237
0.0000 2.0261 6.0915
1.4614 0.0000 1.9237
1.4614 0.0000 6.0915
1.4614 2.0261 0.0000
0.0000 0.0000 4.0076
1.4614 2.0261 4.0076
```

Formation energy (eV per atom): 0.0131
M_tot (μB/atom): 1.894
Symmetry: Cmmm (65)
DOS(E_F) (states/eV per cell): 5.2

[9]
This record from Alexandria describes FeTc2 at its PBEsol-relaxed geometry. The functional is SCAN.

The structure in POSCAR format:
```
FeTc2
1.0
4.0952 0.0000 0.0000
-2.0476 3.5465 0.0000
0.0000 0.0000 5.2185
Fe Tc
2 4
Cartesian
0.0000 2.3643 1.3046
2.0476 1.1822 3.9139
0.0000 0.0000 0.0000
0.0000 0.0000 2.6093
0.0000 2.3643 3.9139
2.0476 1.1822 1.3046
```

Formation energy (eV per atom): 0.1338
M_tot (μB/atom): 0.211
Symmetry: P6_3/mmc (194)
DOS(E_F) (states/eV per cell): 3.8

[10]
This record from Alexandria describes FeTc3 at its PBEsol-relaxed geometry. The functional is SCAN.

The structure in POSCAR format:
```
FeTc3
1.0
8.4703 0.0000 0.0000
-4.2352 7.3355 0.0000
0.0000 0.0000 2.5912
Fe Tc
3 9
Cartesian
0.0000 0.0000 0.0000
0.0000 4.8903 1.7274
4.2352 2.4452 0.8637
-2.1176 3.6677 0.0000
0.0000 2.4452 0.8637
-2.1176 6.1129 0.8637
2.1176 1.2226 1.7274
4.2352 0.0000 0.0000
2.1176 3.6677 0.0000
2.1176 6.1129 0.8637
6.3527 1.2226 1.7274
4.2351 4.8903 1.7274
```

Formation energy (eV per atom): 0.1375
M_tot (μB/atom): 0.622
Symmetry: R-3m (166)
DOS(E_F) (states/eV per cell): 11.5

[11]
This record from Alexandria describes FeTc3 at its PBEsol-relaxed geometry. The functional is SCAN.

The structure in POSCAR format:
```
FeTc3
1.0
2.6756 0.0000 0.0000
-1.3378 2.3172 0.0000
0.0000 0.0000 8.3922
Fe Tc
1 3
Cartesian
0.0000 0.0000 0.0000
0.0000 0.0000 4.1961
1.3378 0.7724 1.9984
1.3378 0.7724 6.3938
```

Formation energy (eV per atom): 0.1785
M_tot (μB/atom): 0.001
Symmetry: P-6m2 (187)
DOS(E_F) (states/eV per cell): 4.0

[12]
This record from Alexandria describes FeTc3 at its PBEsol-relaxed geometry. The functional is SCAN.

The structure in POSCAR format:
```
FeTc3
1.0
4.7293 0.0000 0.0000
0.0000 4.7293 0.0000
0.0000 0.0000 4.7293
Fe Tc
2 6
Cartesian
0.0000 0.0000 0.0000
2.3646 2.3646 2.3646
0.0000 1.1823 2.3646
0.0000 3.5470 2.3646
1.1823 2.3646 0.0000
2.3646 0.0000 1.1823
2.3646 0.0000 3.5470
3.5470 2.3646 0.0000
```

Formation energy (eV per atom): 0.0572
M_tot (μB/atom): 0.607
Symmetry: Pm-3n (223)
DOS(E_F) (states/eV per cell): 7.2